An optimized crystal structure of LaZrPO2, computed with PBE-GGA.

E_form (uncorrected)   -1.0587 eV per atom
Density of states at the Fermi level   1.00 states/eV/atom

Unit cell a=4.2226 b=4.2226 c=6.1396 alpha=90.00 beta=90.00 gamma=90.00
Closest atoms and distances in Å follow each position.
Fractional positions:
O (0.5000, 0.0000, 0.0000)  2 La 2.11
O (0.0000, 0.5000, 0.0000)  2 La 2.11
Zr (0.5000, 0.5000, 0.5000)  4 P 2.99
La (0.0000, 0.0000, 0.0000)  4 O 2.11
P (0.0000, 0.0000, 0.5000)  4 Zr 2.99, 2 La 3.07

---

An optimized crystal structure of LaZrPO2, computed with PBE-GGA.

E_form (uncorrected)   -2.3530 eV per atom
Density of states at the Fermi level   0.00 states/eV/atom

Unit cell a=4.1915 b=4.1915 c=5.2775 alpha=90.00 beta=90.00 gamma=90.00
Closest atoms and distances in Å follow each position.
Fractional positions:
O (0.0000, 0.5000, 0.0000)  2 Zr 2.10
La (0.5000, 0.5000, 0.5000)  4 P 2.96
Zr (0.0000, 0.0000, 0.0000)  4 O 2.10
P (0.0000, 0.0000, 0.5000)  2 Zr 2.64
O (0.5000, 0.0000, 0.0000)  2 Zr 2.10

---

Question: What is the density of states at the Fermi level in the first record?
Answer: 1.00 states/eV/atom

---

Question: Look up the E_form (uncorrected) of the first one.
Answer: -1.0587 eV per atom

---

Question: Among the records above, which one has the highest E_form (uncorrected)?
Answer: number 1

---

Question: Which of these has the highest E_form (uncorrected)?
Answer: number 1